<A>
This record from OQMD via LeMat-Bulk describes a relaxed RbNbNO crystal. The functional is PBE.

```
data_RbNbNO
_space_group_name_H-M_alt 'P 1'
_space_group_IT_number 1
_cell_length_a 3.663
_cell_length_b 3.663
_cell_length_c 8.576
_cell_angle_alpha 90.00
_cell_angle_beta 90.00
_cell_angle_gamma 90.00
loop_
_space_group_symop_operation_xyz
'x,y,z'
loop_
_atom_site_label
_atom_site_type_symbol
_atom_site_fract_x
_atom_site_fract_y
_atom_site_fract_z
Rb1 Rb 0.250 0.750 0.000
Rb2 Rb 0.750 0.250 0.000
Nb1 Nb 0.250 0.250 0.368
Nb2 Nb 0.750 0.750 0.632
N1 N 0.250 0.250 0.751
N2 N 0.750 0.750 0.249
O1 O 0.250 0.750 0.500
O2 O 0.750 0.250 0.500
```



<B>
This record from OQMD via LeMat-Bulk describes a relaxed RbNbNO crystal. The functional is PBE.

```
data_RbNbNO
_space_group_name_H-M_alt 'P 1'
_space_group_IT_number 1
_cell_length_a 4.386
_cell_length_b 4.386
_cell_length_c 7.679
_cell_angle_alpha 90.00
_cell_angle_beta 90.00
_cell_angle_gamma 90.00
loop_
_space_group_symop_operation_xyz
'x,y,z'
loop_
_atom_site_label
_atom_site_type_symbol
_atom_site_fract_x
_atom_site_fract_y
_atom_site_fract_z
Rb1 Rb 0.250 0.750 0.000
Rb2 Rb 0.750 0.250 0.000
Nb1 Nb 0.250 0.250 0.444
Nb2 Nb 0.750 0.750 0.556
N1 N 0.250 0.250 0.213
N2 N 0.750 0.750 0.787
O1 O 0.250 0.750 0.500
O2 O 0.750 0.250 0.500
```



<C>
This record from OQMD via LeMat-Bulk describes a relaxed RbNbNO crystal. The functional is PBE.

```
data_RbNbNO
_space_group_name_H-M_alt 'P 1'
_space_group_IT_number 1
_cell_length_a 3.460
_cell_length_b 7.338
_cell_length_c 6.247
_cell_angle_alpha 90.00
_cell_angle_beta 90.00
_cell_angle_gamma 90.00
loop_
_space_group_symop_operation_xyz
'x,y,z'
loop_
_atom_site_label
_atom_site_type_symbol
_atom_site_fract_x
_atom_site_fract_y
_atom_site_fract_z
Rb1 Rb 0.000 0.151 0.000
Rb2 Rb 0.000 0.849 0.500
Nb1 Nb 0.500 0.374 0.508
Nb2 Nb 0.500 0.626 0.008
N1 N 0.000 0.246 0.476
N2 N 0.000 0.754 0.976
O1 O 0.500 0.410 0.827
O2 O 0.500 0.590 0.327
```



Compare the structures above. Which one is the most stable? <C> is.